Entry 1:
Computed, not measured: a geometry-optimized Ge2Au5 structure at the PBE level of DFT.

spin magnetization	0.000	μB/atom
formation energy from the elements	0.27	eV/f.u.

a b c (Å): 15.9733 5.9325 5.8330
angles (deg): 90.00 98.54 90.00
With the nearest neighbours (Å) after each atom.
Space group C2/c (No. 15)
Unique sites:
Ge  0.1124  0.1267  0.3769 (multiplicity 8)  5 Au 2.57-2.72
Au  0.0000  0.1751  0.7500 (multiplicity 4)  2 Ge 2.57, 2 Au 2.87
Au  0.0999  0.4732  0.0681 (multiplicity 8)  2 Ge 2.64-2.72, 5 Au 2.87-2.93
Au  0.2404  0.0588  0.1453 (multiplicity 8)  2 Ge 2.62-2.64, 2 Au 2.88

=====

Entry 2:
Computed, not measured: a geometry-optimized Ge3Au structure at the PBE level of DFT.

spin magnetization	0.000	μB/atom
formation energy from the elements	0.93	eV/f.u.

a b c (Å): 2.7826 5.4546 10.2274
angles (deg): 90.00 90.00 90.00
With the nearest neighbours (Å) after each atom.
Space group Immm (No. 71)
Unique sites:
Ge  0.0000  0.0000  0.0000 (multiplicity 2)  6 Ge 2.78-2.98, 4 Au 3.06
Ge  0.0000  0.5000  0.2426 (multiplicity 4)  8 Ge 2.78-3.07, 2 Au 2.84
Au  0.0000  0.0000  0.5000 (multiplicity 2)  2 Au 2.78, 8 Ge 2.84-3.06

=====

Entry 3:
Computed, not measured: a geometry-optimized GeAu3 structure at the PBE level of DFT.

spin magnetization	0.000	μB/atom
formation energy from the elements	0.26	eV/f.u.

a b c (Å): 6.6670 6.6670 6.6670
angles (deg): 90.00 90.00 90.00
With the nearest neighbours (Å) after each atom.
Space group Fm-3m (No. 225)
Unique sites:
Ge  0.0000  0.0000  0.0000 (multiplicity 4)  8 Au 2.89
Au  0.0000  0.0000  0.5000 (multiplicity 4)  8 Au 2.89
Au  0.2500  0.2500  0.2500 (multiplicity 8)  4 Ge 2.89, 4 Au 2.89

=====

Entry 4:
Computed, not measured: a geometry-optimized Ge3Au structure at the PBE level of DFT.

spin magnetization	0.000	μB/atom
formation energy from the elements	0.86	eV/f.u.

a b c (Å): 4.2488 4.2593 4.2535
angles (deg): 90.00 90.00 90.00
With the nearest neighbours (Å) after each atom.
Space group Pmm2 (No. 25)
Unique sites:
Ge  0.0000  0.0000  0.0000 (multiplicity 1)  8 Ge 2.84-3.19, 4 Au 2.86-3.16
Ge  0.0000  0.5000  0.4432 (multiplicity 1)  8 Ge 2.84-3.19, 4 Au 3.04
Ge  0.5000  0.5000  0.9986 (multiplicity 1)  8 Ge 2.84-3.18, 4 Au 2.86-3.17
Au  0.5000  0.0000  0.5509 (multiplicity 1)  12 Ge 2.86-3.17

=====

no.,N(E_F) (states/eV/atom)
1,0.231
2,0.395
3,0.264
4,0.518